[1]
First-principles (PBE) data for a relaxed MgSi2Rh3 crystal, as listed in Alexandria via LeMat-Bulk.

The structure belongs to space group C2/m (No. 12); the cell edges are 16.344, 3.939 and 9.113 Å and the angles 90.00°, 111.32° and 90.00°. The asymmetric unit holds Mg at (0.000, 0.000, 0.000), Mg at (0.144, 0.000, 0.683), Si at (0.037, 0.500, 0.792), Si at (0.139, 0.500, 0.438), Si at (0.182, 0.000, 0.104), Rh at (0.000, 0.500, 0.500), Rh at (0.040, 0.000, 0.327), Rh at (0.103, 0.500, 0.162), Rh at (0.184, 0.500, 0.946) and Rh at (0.217, 0.000, 0.379).

Its formation energy without anion corrections is -0.69 eV per atom. The density of states at the Fermi level comes out at 13.9 states/eV/cell. The magnetic moment comes out at 0.00 μB/cell.

=====

[2]
First-principles (PBE) data for a relaxed Er4ScTl2 crystal, as listed in Alexandria via LeMat-Bulk.

The structure belongs to space group R-3m (No. 166, hexagonal axes); the cell edges are 5.3881, 5.3881 and 25.7380 Å and the angles 90.00°, 90.00° and 120.00°. The asymmetric unit holds Er at (0.0000, 0.0000, 0.1311), Er at (0.0000, 0.0000, 0.2674), Sc at (0.0000, 0.0000, 0.5000) and Tl at (0.0000, 0.0000, 0.3869).

The calculation puts the formation energy at 0.05 eV/atom. The density of states at the Fermi level comes out at 33.9 states/eV/cell. The magnetic moment comes out at 4.72 μB/cell.

=====

[3]
First-principles (PBE) data for a relaxed ZrSBr2 crystal, as listed in Alexandria via LeMat-Bulk.

The structure belongs to space group R-3m (No. 166, hexagonal axes); the cell edges are 3.3910, 3.3910 and 32.4224 Å and the angles 90.00°, 90.00° and 120.00°. The asymmetric unit holds Zr at (0.0000, 0.0000, 0.0000), S at (0.0000, 0.0000, 0.5000) and Br at (0.0000, 0.0000, 0.3928).

Its formation energy without anion corrections is -0.33 eV per atom. The density of states at the Fermi level comes out at 8.4 states/eV/cell. The magnetic moment comes out at 0.50 μB/cell.

=====

Question: Look up the density of states at the Fermi level of the first one.
Answer: 13.9 states/eV/cell

=====

Copy entry 1 word for word.
First-principles (PBE) data for a relaxed MgSi2Rh3 crystal, as listed in Alexandria via LeMat-Bulk.

The structure belongs to space group C2/m (No. 12); the cell edges are 16.344, 3.939 and 9.113 Å and the angles 90.00°, 111.32° and 90.00°. The asymmetric unit holds Mg at (0.000, 0.000, 0.000), Mg at (0.144, 0.000, 0.683), Si at (0.037, 0.500, 0.792), Si at (0.139, 0.500, 0.438), Si at (0.182, 0.000, 0.104), Rh at (0.000, 0.500, 0.500), Rh at (0.040, 0.000, 0.327), Rh at (0.103, 0.500, 0.162), Rh at (0.184, 0.500, 0.946) and Rh at (0.217, 0.000, 0.379).

Its formation energy without anion corrections is -0.69 eV per atom. The density of states at the Fermi level comes out at 13.9 states/eV/cell. The magnetic moment comes out at 0.00 μB/cell.

=====

Question: Which formula does entry 1 have?
Answer: MgSi2Rh3

=====

Question: Which value of magnetic moment does entry 3 give?
Answer: 0.50 μB/cell